Computed, not measured: crystalline Ta4MnRe3 at its relaxed geometry at the PBE level of DFT.

```
data_Ta4MnRe3
_space_group_name_H-M_alt 'P 4/m m m'
_space_group_IT_number 123
_space_group_name_Hall '-P 4 2'
_cell_length_a 3.176
_cell_length_b 3.176
_cell_length_c 12.679
_cell_angle_alpha 90.00
_cell_angle_beta 90.00
_cell_angle_gamma 90.00
loop_
_atom_site_label
_atom_site_fract_x
_atom_site_fract_y
_atom_site_fract_z
Ta1 0.000 0.000 0.119
Ta2 0.000 0.000 0.373
Mn1 0.500 0.500 0.000
Re1 0.500 0.500 0.246
Re2 0.500 0.500 0.500
```

Values from the calculation:
The calculation puts the spin magnetization at 0.00 Bohr magnetons per cell. The calculated volume is 15.98 Å³/atom. The density of states at the Fermi level comes out at 2.4 states/eV/cell. The value obtained for the total energy is -96.83 eV for the cell shown. The value obtained for the formation energy is -0.363 eV/atom.

Computed, not measured: crystalline LaPmNdCu at its relaxed geometry at the PBE level of DFT.

```
data_LaPmNdCu
_space_group_name_H-M_alt 'P 4 m m'
_space_group_IT_number 99
_cell_length_a 3.640
_cell_length_b 3.640
_cell_length_c 8.870
_cell_angle_alpha 90.00
_cell_angle_beta 90.00
_cell_angle_gamma 90.00
loop_
_space_group_symop_operation_xyz
'x,y,z'
'-y,x,z'
'-x,-y,z'
'y,-x,z'
'-x,y,z'
'y,x,z'
'x,-y,z'
'-y,-x,z'
loop_
_atom_site_label
_atom_site_fract_x
_atom_site_fract_y
_atom_site_fract_z
La1 0.000 0.000 0.000
Pm1 0.500 0.500 0.305
Nd1 0.500 0.500 0.693
Cu1 0.000 0.000 0.495
```

Values from the calculation:
The calculation puts the spin magnetization at 0.00 Bohr magnetons per cell. The calculated volume is 29.38 Å³/atom. The density of states at the Fermi level comes out at 4.8 states/eV/cell. The value obtained for the total energy is -18.77 eV for the cell shown. The value obtained for the formation energy is -0.058 eV/atom.

Computed, not measured: crystalline NaSnO3 at its relaxed geometry at the PBE level of DFT.

```
data_NaSnO3
_space_group_name_H-M_alt 'C 1 2/c 1'
_space_group_IT_number 15
_cell_length_a 9.691
_cell_length_b 10.865
_cell_length_c 5.547
_cell_angle_alpha 90.00
_cell_angle_beta 92.35
_cell_angle_gamma 90.00
loop_
_space_group_symop_operation_xyz
'x,y,z'
'-x,-y,-z'
'-x,y,-z+1/2'
'x,-y,z+1/2'
'x+1/2,y+1/2,z'
'-x+1/2,-y+1/2,-z'
'-x+1/2,y+1/2,-z+1/2'
'x+1/2,-y+1/2,z+1/2'
loop_
_atom_site_label
_atom_site_fract_x
_atom_site_fract_y
_atom_site_fract_z
Na1 0.183 0.090 0.095
Sn1 0.000 0.280 0.750
Sn2 0.000 0.420 0.250
O1 0.073 0.101 0.693
O2 0.112 0.295 0.067
O3 0.115 0.430 0.593
```

Values from the calculation:
The calculation puts the spin magnetization at 0.26 Bohr magnetons per cell. The calculated volume is 14.59 Å³/atom. The value obtained for the total energy is -216.68 eV for the cell shown. For the formation energy without anion corrections, the calculation gives -31.8 kcal/mol of atoms.

Computed, not measured: crystalline Ce2Y3HoSb6 at its relaxed geometry at the PBE level of DFT.

```
data_Ce2Y3HoSb6
_space_group_name_H-M_alt 'C 1 2/m 1'
_space_group_IT_number 12
_cell_length_a 7.666
_cell_length_b 13.279
_cell_length_c 7.661
_cell_angle_alpha 90.00
_cell_angle_beta 109.50
_cell_angle_gamma 90.00
loop_
_space_group_symop_operation_xyz
'x,y,z'
'-x,-y,-z'
'-x,y,-z'
'x,-y,z'
'x+1/2,y+1/2,z'
'-x+1/2,-y+1/2,-z'
'-x+1/2,y+1/2,-z'
'x+1/2,-y+1/2,z'
loop_
_atom_site_label
_atom_site_fract_x
_atom_site_fract_y
_atom_site_fract_z
Ce1 0.000 0.166 0.000
Y1 0.000 0.000 0.500
Y2 0.000 0.332 0.500
Ho1 0.000 0.500 0.000
Sb1 0.245 0.500 0.746
Sb2 0.249 0.335 0.252
```

Values from the calculation:
The calculation puts the spin magnetization at 3.01 Bohr magnetons per cell. The calculated volume is 30.63 Å³/atom. The density of states at the Fermi level comes out at 26.8 states/eV/cell. The value obtained for the total energy is -147.96 eV for the cell shown. For the formation energy without anion corrections, the calculation gives -25.8 kcal/mol of atoms.

Computed, not measured: crystalline Ag5SCl2 at its relaxed geometry at the PBE level of DFT.

```
data_Ag5SCl2
_space_group_name_H-M_alt 'C m c m'
_space_group_IT_number 63
_space_group_name_Hall '-C 2c 2'
_cell_length_a 3.918
_cell_length_b 15.211
_cell_length_c 12.742
_cell_angle_alpha 90.00
_cell_angle_beta 90.00
_cell_angle_gamma 90.00
loop_
_atom_site_label
_atom_site_fract_x
_atom_site_fract_y
_atom_site_fract_z
Ag1 0.000 0.112 0.084
Ag2 0.000 0.204 0.750
Ag3 0.000 0.299 0.059
S1 0.000 0.192 0.250
Cl1 0.000 0.066 0.610
```

Values from the calculation:
The calculation puts the spin magnetization at 0.00 Bohr magnetons per cell. The calculated volume is 23.73 Å³/atom. The density of states at the Fermi level comes out at 5.9 states/eV/cell. The value obtained for the total energy is -91.88 eV for the cell shown. For the formation energy without anion corrections, the calculation gives -2.6 kcal/mol of atoms.

Computed, not measured: crystalline Tb2BiP at its relaxed geometry at the PBE level of DFT.

```
data_Tb2BiP
_space_group_name_H-M_alt 'R -3 m'
_space_group_IT_number 166
_space_group_name_Hall '-R 3 2"'
_cell_length_a 4.1864
_cell_length_b 4.1864
_cell_length_c 21.4540
_cell_angle_alpha 90.00
_cell_angle_beta 90.00
_cell_angle_gamma 120.00
loop_
_atom_site_label
_atom_site_fract_x
_atom_site_fract_y
_atom_site_fract_z
Tb1 0.0000 0.0000 0.2390
Bi1 0.0000 0.0000 0.0000
P1 0.0000 0.0000 0.5000
```

Values from the calculation:
The calculation puts the spin magnetization at 0.00 Bohr magnetons per cell. The calculated volume is 27.14 Å³/atom. The density of states at the Fermi level comes out at 2.9 states/eV/cell. The value obtained for the total energy is -70.14 eV for the cell shown. The value obtained for the formation energy is -1.207 eV/atom.

Computed, not measured: crystalline DyGa4NiPt2 at its relaxed geometry at the PBE level of DFT.

```
data_DyGa4NiPt2
_space_group_name_H-M_alt 'R -3 m'
_space_group_IT_number 166
_space_group_name_Hall '-R 3 2"'
_cell_length_a 4.2577
_cell_length_b 4.2577
_cell_length_c 25.5526
_cell_angle_alpha 90.00
_cell_angle_beta 90.00
_cell_angle_gamma 120.00
loop_
_atom_site_label
_atom_site_fract_x
_atom_site_fract_y
_atom_site_fract_z
Dy1 0.0000 0.0000 0.0000
Ga1 0.0000 0.0000 0.1352
Ga2 0.0000 0.0000 0.3990
Ni1 0.0000 0.0000 0.5000
Pt1 0.0000 0.0000 0.2410
```

Values from the calculation:
The calculation puts the spin magnetization at 0.00 Bohr magnetons per cell. The calculated volume is 16.71 Å³/atom. The density of states at the Fermi level comes out at 10.5 states/eV/cell. The value obtained for the total energy is -119.22 eV for the cell shown. The value obtained for the formation energy is -0.646 eV/atom.

Computed, not measured: crystalline SrY3Ir at its relaxed geometry at the PBE level of DFT.

```
data_SrY3Ir
_space_group_name_H-M_alt 'A m m 2'
_space_group_IT_number 38
_cell_length_a 3.944
_cell_length_b 7.303
_cell_length_c 18.333
_cell_angle_alpha 90.00
_cell_angle_beta 90.00
_cell_angle_gamma 90.00
loop_
_space_group_symop_operation_xyz
'x,y,z'
'-x,-y,z'
'-x,y,z'
'x,-y,z'
'x,y+1/2,z+1/2'
'-x,-y+1/2,z+1/2'
'-x,y+1/2,z+1/2'
'x,-y+1/2,z+1/2'
loop_
_atom_site_label
_atom_site_fract_x
_atom_site_fract_y
_atom_site_fract_z
Sr1 0.000 0.000 0.000
Y1 0.000 0.250 0.182
Y2 0.500 0.000 0.810
Ir1 0.500 0.000 0.664
```

Values from the calculation:
The calculation puts the spin magnetization at 0.91 Bohr magnetons per cell. The value obtained for the energy above the most stable polymorph in this dataset is 704 meV per atom. The calculated volume is 52.80 Å³/atom. The density of states at the Fermi level comes out at 16.3 states/eV/cell. The value obtained for the total energy is -56.53 eV for the cell shown. The value obtained for the formation energy is 0.334 eV/atom.

Please write out number 6 again, unchanged.
Computed, not measured: crystalline Tb2BiP at its relaxed geometry at the PBE level of DFT.

```
data_Tb2BiP
_space_group_name_H-M_alt 'R -3 m'
_space_group_IT_number 166
_space_group_name_Hall '-R 3 2"'
_cell_length_a 4.1864
_cell_length_b 4.1864
_cell_length_c 21.4540
_cell_angle_alpha 90.00
_cell_angle_beta 90.00
_cell_angle_gamma 120.00
loop_
_atom_site_label
_atom_site_fract_x
_atom_site_fract_y
_atom_site_fract_z
Tb1 0.0000 0.0000 0.2390
Bi1 0.0000 0.0000 0.0000
P1 0.0000 0.0000 0.5000
```

Values from the calculation:
The calculation puts the spin magnetization at 0.00 Bohr magnetons per cell. The calculated volume is 27.14 Å³/atom. The density of states at the Fermi level comes out at 2.9 states/eV/cell. The value obtained for the total energy is -70.14 eV for the cell shown. The value obtained for the formation energy is -1.207 eV/atom.